# 1
A plane-wave DFT calculation with PBE was carried out for crystalline Ta2FeCu at its relaxed geometry. Values from VASP.

Computed properties:
The calculation puts the density at 13.52 Mg/m³. The excess energy over the best structure of this formula in the dataset is 8 meV per atom. The space group is No. 6. The calculation puts the density of states at the Fermi level at 0.91 states/eV per atom.

```
&SYSTEM
  ibrav = 0, nat = 4, ntyp = 3
/
ATOMIC_SPECIES
Ta 180.95 Ta.upf
Fe 55.84 Fe.upf
Cu 63.55 Cu.upf
CELL_PARAMETERS angstrom
2.908 0.000 0.000
0.000 4.259 0.000
-0.865 0.000 4.775
ATOMIC_POSITIONS crystal
Ta 0.000 0.000 0.000
Ta 0.209 0.500 0.605
Fe 0.651 0.000 0.492
Cu 0.564 0.500 0.148
```


# 2
A plane-wave DFT calculation with PBE was carried out for crystalline Tb3Tm7Cd at its relaxed geometry. Values from VASP.

Computed properties:
For the total energy, the calculation gives -4.025 eV per atom. The calculation puts the density at 8.50 Mg/m³. The space group is No. 156. The calculation puts the density of states at the Fermi level at 1.36 states/eV per atom.

```
&SYSTEM
  ibrav = 0, nat = 11, ntyp = 3
/
ATOMIC_SPECIES
Tb 158.93 Tb.upf
Tm 168.93 Tm.upf
Cd 112.41 Cd.upf
CELL_PARAMETERS angstrom
6.876 0.000 0.000
-3.438 5.955 0.000
0.000 0.000 8.450
ATOMIC_POSITIONS crystal
Tb 0.168 0.336 0.000
Tb 0.168 0.832 0.000
Tb 0.664 0.832 0.000
Tm 0.006 0.503 0.340
Tm 0.332 0.166 0.663
Tm 0.333 0.667 0.670
Tm 0.497 0.503 0.340
Tm 0.497 0.994 0.340
Tm 0.834 0.166 0.663
Tm 0.834 0.668 0.663
Cd 0.000 0.000 0.343
```


# 3
A plane-wave DFT calculation with PBE was carried out for crystalline La4Te2CS at its relaxed geometry. Values from VASP.

Computed properties:
The calculation puts the density at 6.25 Mg/m³. Its uncorrected formation energy is -1.35 eV per atom. The space group is No. 10. The calculation puts the density of states at the Fermi level at 0.41 states/eV per atom.

```
&SYSTEM
  ibrav = 0, nat = 8, ntyp = 4
/
ATOMIC_SPECIES
La 138.91 La.upf
Te 127.60 Te.upf
C 12.01 C.upf
S 32.06 S.upf
CELL_PARAMETERS angstrom
7.334 0.000 0.000
0.000 4.196 0.000
-2.409 0.000 7.374
ATOMIC_POSITIONS crystal
La 0.215 0.000 0.200
La 0.243 0.500 0.795
La 0.757 0.500 0.205
La 0.785 0.000 0.800
Te 0.000 0.000 0.500
Te 0.500 0.500 0.500
C 0.000 0.500 0.000
S 0.500 0.000 0.000
```


# 4
A plane-wave DFT calculation with PBE was carried out for crystalline TiIrRh3 at its relaxed geometry. Values from VASP.

Computed properties:
The calculation puts the density at 10.39 Mg/m³. The excess energy over the best structure of this formula in the dataset is 1385 meV per atom. The space group is No. 221. The calculation puts the density of states at the Fermi level at 1.11 states/eV per atom.

```
&SYSTEM
  ibrav = 0, nat = 5, ntyp = 3
/
ATOMIC_SPECIES
Ti 47.87 Ti.upf
Ir 192.22 Ir.upf
Rh 102.91 Rh.upf
CELL_PARAMETERS angstrom
4.443 0.000 0.000
0.000 4.443 0.000
0.000 0.000 4.443
ATOMIC_POSITIONS crystal
Ti 0.000 0.000 0.000
Ir 0.500 0.500 0.500
Rh 0.000 0.000 0.500
Rh 0.000 0.500 0.000
Rh 0.500 0.000 0.000
```